# 1
{
  "formula": "VH5Se2NO7",
  "functional": "GGA-PBEsol",
  "state": "optimized geometry",
  "cell": [[3.935, 0.026, 0.000], [-1.112, 7.780, 0.000], [0.000, 0.000, 10.557]],
  "species": ["Se", "Se", "Se", "Se", "H", "H", "H", "H", "H", "H", "H", "H", "H", "H", "V", "V", "N", "N", "O", "O", "O", "O", "O", "O", "O", "O", "O", "O", "O", "O", "O", "O"],
  "fractional_positions": [[0.713, 0.312, 0.493], [0.287, 0.688, 0.507], [0.713, 0.312, 0.007], [0.287, 0.688, 0.993], [0.317, 0.131, 0.250], [0.500, 0.000, 0.000], [0.016, 0.972, 0.669], [0.260, 0.914, 0.250], [0.016, 0.972, 0.831], [0.740, 0.086, 0.750], [0.984, 0.028, 0.331], [0.683, 0.869, 0.750], [0.500, 0.000, 0.500], [0.984, 0.028, 0.169], [0.433, 0.454, 0.750], [0.567, 0.546, 0.250], [0.137, 0.022, 0.250], [0.863, 0.978, 0.750], [0.461, 0.270, 0.627], [0.714, 0.101, 0.053], [0.419, 0.372, 0.116], [0.581, 0.628, 0.616], [0.020, 0.466, 0.750], [0.539, 0.730, 0.373], [0.286, 0.899, 0.947], [0.980, 0.534, 0.250], [0.581, 0.628, 0.884], [0.714, 0.101, 0.447], [0.286, 0.899, 0.553], [0.539, 0.730, 0.127], [0.419, 0.372, 0.384], [0.461, 0.270, 0.873]],
  "n_ef_per_ev_atom": 0.0085,
  "magmom_total_mub_per_cell": 2.00
}

---

# 2
{
  "formula": "ZnH20Se2N2O14",
  "functional": "GGA-PBEsol",
  "state": "optimized geometry",
  "cell": [[-5.395, -3.012, 1.708], [4.132, -5.415, -6.189], [6.117, -5.775, 9.137]],
  "species": ["H", "H", "H", "H", "H", "H", "H", "H", "H", "H", "H", "H", "H", "H", "H", "H", "H", "H", "H", "H", "H", "H", "H", "H", "H", "H", "H", "H", "H", "H", "H", "H", "H", "H", "H", "H", "H", "H", "H", "H", "O", "O", "O", "O", "O", "O", "O", "O", "O", "O", "O", "O", "O", "O", "O", "O", "O", "O", "O", "O", "O", "O", "O", "O", "O", "O", "O", "O", "Se", "Se", "Se", "Se", "Zn", "Zn", "N", "N", "N", "N"],
  "fractional_positions": [[0.454, 0.572, 0.812], [0.805, 0.927, 0.325], [0.676, 0.978, 0.857], [0.546, 0.428, 0.188], [0.001, 0.862, 0.811], [0.939, 0.736, 0.905], [0.613, 0.764, 0.286], [0.678, 0.782, 0.082], [0.613, 0.264, 0.214], [0.322, 0.218, 0.918], [0.896, 0.742, 0.120], [0.999, 0.638, 0.311], [0.999, 0.138, 0.189], [0.678, 0.282, 0.418], [0.621, 0.827, 0.416], [0.454, 0.072, 0.688], [0.676, 0.478, 0.643], [0.667, 0.600, 0.554], [0.939, 0.236, 0.595], [0.387, 0.736, 0.786], [0.061, 0.764, 0.405], [0.324, 0.522, 0.357], [0.195, 0.073, 0.675], [0.322, 0.718, 0.582], [0.104, 0.258, 0.880], [0.546, 0.928, 0.312], [0.333, 0.400, 0.446], [0.379, 0.173, 0.584], [0.621, 0.327, 0.084], [0.387, 0.236, 0.714], [0.896, 0.242, 0.380], [0.379, 0.673, 0.916], [0.324, 0.022, 0.143], [0.805, 0.427, 0.175], [0.667, 0.100, 0.946], [0.061, 0.264, 0.095], [0.333, 0.900, 0.054], [0.195, 0.573, 0.825], [0.001, 0.362, 0.689], [0.104, 0.758, 0.620], [0.576, 0.429, 0.768], [0.605, 0.269, 0.947], [0.965, 0.160, 0.113], [0.294, 0.496, 0.434], [0.965, 0.660, 0.387], [0.830, 0.826, 0.108], [0.576, 0.929, 0.732], [0.032, 0.111, 0.322], [0.035, 0.340, 0.613], [0.789, 0.072, 0.555], [0.830, 0.326, 0.392], [0.294, 0.996, 0.066], [0.170, 0.674, 0.608], [0.395, 0.231, 0.447], [0.032, 0.611, 0.178], [0.211, 0.428, 0.055], [0.968, 0.889, 0.678], [0.605, 0.769, 0.553], [0.706, 0.504, 0.566], [0.706, 0.004, 0.934], [0.395, 0.731, 0.053], [0.170, 0.174, 0.892], [0.789, 0.572, 0.945], [0.211, 0.928, 0.445], [0.968, 0.389, 0.822], [0.424, 0.571, 0.232], [0.424, 0.071, 0.268], [0.035, 0.840, 0.887], [0.261, 0.583, 0.128], [0.739, 0.917, 0.628], [0.261, 0.083, 0.372], [0.739, 0.417, 0.872], [0.000, 0.500, 0.500], [0.000, 0.000, 0.000], [0.354, 0.640, 0.835], [0.646, 0.860, 0.335], [0.354, 0.140, 0.665], [0.646, 0.360, 0.165]],
  "n_ef_per_ev_atom": 0.0000,
  "magmom_total_mub_per_cell": 0.00
}

---

# 3
{
  "formula": "SiHN2O",
  "functional": "GGA-PBEsol",
  "state": "optimized geometry",
  "cell": [[-2.006, 2.692, -0.553], [-2.267, -2.083, -1.915], [-1.853, -0.761, 3.022]],
  "species": ["O", "N", "N", "H", "Si"],
  "fractional_positions": [[0.500, 0.000, 0.000], [0.000, 0.500, 0.000], [0.000, 0.000, 0.500], [0.500, 0.500, 0.500], [0.000, 0.000, 0.000]],
  "n_ef_per_ev_atom": 0.3452,
  "magmom_total_mub_per_cell": 2.12
}

---

# 4
{
  "formula": "SiHN2O",
  "functional": "GGA-PBEsol",
  "state": "optimized geometry",
  "cell": [[-1.766, -1.465, 1.643], [1.609, -2.296, -0.318], [2.466, 1.211, 3.730]],
  "species": ["N", "N", "O", "Si", "H"],
  "fractional_positions": [[0.000, 0.500, 0.000], [0.500, 0.000, 0.000], [0.000, 0.000, 0.500], [0.500, 0.500, 0.500], [0.000, 0.000, 0.000]],
  "n_ef_per_ev_atom": 0.3119,
  "magmom_total_mub_per_cell": 0.00
}

---

| no. | VASP energy (eV per atom) |
| --- | --- |
| 1 | -6.00 |
| 2 | -5.16 |
| 3 | -5.60 |
| 4 | -5.15 |